[1]
Material: ZrPPbS2
Method: DFT, PBE
State: optimized geometry

The structure in POSCAR format:
```
ZrPPbS2
1.0
-1.283 0.453 4.794
-1.408 -4.779 0.075
4.735 -1.373 1.397
Pb S P Zr
1 2 1 1
Direct
0.500 0.500 0.500
0.500 0.000 0.000
0.000 0.500 0.000
0.000 0.000 0.500
0.000 0.000 0.000
```

Values from the calculation:
**Excess energy over the best structure of this formula in the dataset**: 0 meV/atom
**Space group**: P4/mmm (123)
**D(E_F)**: 0.486 states/eV per atom
**Total magnetic moment**: 0.000 Bohr magnetons per cell
**Formation energy without anion corrections**: -0.47 eV per atom



[2]
Material: ZrP2PbS
Method: DFT, PBE
State: optimized geometry

The structure in POSCAR format:
```
ZrP2PbS
1.0
5.103 0.000 0.000
0.000 5.103 0.000
0.000 0.000 5.134
P Pb Zr S
2 1 1 1
Direct
0.000 0.500 0.000
0.500 0.000 0.000
0.000 0.000 0.000
0.500 0.500 0.500
0.000 0.000 0.500
```

Values from the calculation:
**Excess energy over the best structure of this formula in the dataset**: 1116 meV/atom
**Space group**: P4/mmm (123)
**D(E_F)**: 0.683 states/eV per atom
**Total magnetic moment**: 0.000 Bohr magnetons per cell
**Formation energy without anion corrections**: 1.00 eV per atom



- Among the records above, which one has the highest D(E_F)?
  ZrP2PbS



- Look up the formation energy without anion corrections of the second one.
  1.00 eV per atom